(1)
VASP calculation (PBE-GGA) on TbY2Bi3 after structural relaxation.

Properties
- Energy of formation from the pure elements: -0.892 eV/atom
- Space group: Immm (71)
- VASP energy: -34.55 eV per cell

Cell: 7.772 7.772 7.772 Å, 146.44 131.85 59.97°
Fractional coordinates of all 6 atoms:
Tb: 0.000 0.000 0.000
Y: 0.333 0.333 0.000
Y: 0.667 0.667 0.000
Bi: 0.167 0.667 0.500
Bi: 0.500 0.000 0.500
Bi: 0.833 0.333 0.500



(2)
VASP calculation (PBE-GGA) on K3Rh3PbO8 after structural relaxation.

Properties
- Raw formation energy: -1.049 eV/atom
- Space group: R-3m (166)
- VASP energy: -84.45 eV per cell

Cell: 7.078 7.078 7.078 Å, 54.53 54.53 54.53°
Fractional coordinates of all 15 atoms:
K: 0.000 0.500 0.500
K: 0.500 0.000 0.500
K: 0.500 0.500 0.000
Rh: 0.000 0.000 0.500
Rh: 0.000 0.500 0.000
Rh: 0.500 0.000 0.000
Pb: 0.500 0.500 0.500
O: 0.200 0.738 0.738
O: 0.222 0.222 0.222
O: 0.262 0.262 0.800
O: 0.262 0.800 0.262
O: 0.738 0.200 0.738
O: 0.738 0.738 0.200
O: 0.778 0.778 0.778
O: 0.800 0.262 0.262



(3)
VASP calculation (PBE-GGA) on Ac2LaHgN after structural relaxation.

Properties
- Raw formation energy: -0.693 eV/atom
- Space group: I4/mcm (140)
- VASP energy: -50.47 eV per cell

Cell: 7.415 7.415 7.415 Å, 119.25 119.25 91.31°
Fractional coordinates of all 10 atoms:
Ac: 0.202 0.702 0.904
Ac: 0.298 0.202 0.500
Ac: 0.702 0.798 0.500
Ac: 0.798 0.298 0.096
La: 0.250 0.250 0.000
La: 0.750 0.750 0.000
Hg: 0.250 0.750 0.500
Hg: 0.750 0.250 0.500
N: 0.000 0.000 0.000
N: 0.500 0.500 0.000



(4)
VASP calculation (PBE-GGA) on Ag2HgIr after structural relaxation.

Properties
- Energy of formation from the pure elements: 0.347 eV/atom
- Space group: Cmm2 (35)
- VASP energy: -13.48 eV per cell

Cell: 2.861 2.861 9.840 Å, 90.00 90.00 117.83°
Fractional coordinates of all 4 atoms:
Ag: 0.000 0.000 0.000
Ag: 0.500 0.500 0.248
Hg: 0.000 0.000 0.511
Ir: 0.500 0.500 0.760



(5)
VASP calculation (PBE-GGA) on Ac2AlZn3 after structural relaxation.

Properties
- Energy of formation from the pure elements: -0.308 eV/atom
- Space group: Fmmm (69)
- VASP energy: -35.26 eV per cell

Cell: 9.328 9.073 6.261 Å, 72.32 67.92 39.75°
Fractional coordinates of all 12 atoms:
Ac: 0.233 0.767 0.767
Ac: 0.250 0.250 0.250
Ac: 0.750 0.750 0.750
Ac: 0.767 0.233 0.233
Al: 0.337 0.337 0.663
Al: 0.663 0.663 0.337
Zn: 0.169 0.169 0.831
Zn: 0.174 0.660 0.340
Zn: 0.340 0.826 0.174
Zn: 0.660 0.174 0.826
Zn: 0.826 0.340 0.660
Zn: 0.831 0.831 0.169



(6)
VASP calculation (PBE-GGA) on Si2TcAu after structural relaxation.

Properties
- Raw formation energy: -0.080 eV/atom
- Space group: P4/mmm (123)
- ΔE to the lowest computed polymorph: 8.1 kJ per mole of atoms
- VASP energy: -24.81 eV per cell

Cell: 3.146 3.146 5.920 Å, 90.00 90.00 90.00°
Fractional coordinates of all 4 atoms:
Si: 0.000 0.000 0.223
Si: 0.000 0.000 0.777
Tc: 0.500 0.500 0.000
Au: 0.500 0.500 0.500



(7)
VASP calculation (PBE-GGA) on Pa4CoPt3 after structural relaxation.

Properties
- Energy of formation from the pure elements: -0.741 eV/atom
- Space group: Pmm2 (25)
- VASP energy: -69.14 eV per cell

Cell: 3.731 4.043 11.475 Å, 90.00 90.00 90.00°
Fractional coordinates of all 8 atoms:
Pa: 0.000 0.000 0.000
Pa: 0.000 0.500 0.284
Pa: 0.500 0.000 0.499
Pa: 0.500 0.500 0.803
Co: 0.500 0.000 0.261
Pt: 0.000 0.000 0.724
Pt: 0.000 0.500 0.547
Pt: 0.500 0.500 0.085



(8)
VASP calculation (PBE-GGA) on CaIrF5 after structural relaxation.

Properties
- Raw formation energy: -2.408 eV/atom
- Space group: C2/c (15)
- VASP energy: -74.16 eV per cell

Cell: 5.724 5.724 7.707 Å, 109.53 109.53 72.36°
Fractional coordinates of all 14 atoms:
Ca: 0.035 0.965 0.750
Ca: 0.965 0.035 0.250
Ir: 0.500 0.500 0.000
Ir: 0.500 0.500 0.500
F: 0.191 0.790 0.027
F: 0.210 0.809 0.473
F: 0.237 0.286 0.376
F: 0.286 0.237 0.876
F: 0.401 0.599 0.750
F: 0.599 0.401 0.250
F: 0.714 0.763 0.124
F: 0.763 0.714 0.624
F: 0.790 0.191 0.527
F: 0.809 0.210 0.973